Entry 1:
## ZnAsCl (PBEsol)

Data for ZnAsCl after structural relaxation.

Cell: 5.7058 5.7058 5.7058 Å, 142.83 142.83 53.58°
Positions (direct):
1 Zn 0.0000 0.0000 0.0000
2 As 0.5218 0.5218 0.0000
3 Cl 0.7499 0.7499 0.0000

ΔE_f (raw), eV per atom: -0.091

Entry 2:
## PtAuIN2 (PBEsol)

Data for PtAuIN2 after structural relaxation.

Cell: 3.7759 3.7759 7.9662 Å, 90.00 90.00 90.00°
Positions (direct):
1 Pt 0.0000 0.0000 0.0000
2 Au 0.5000 0.5000 0.5000
3 I 0.0000 0.0000 0.5000
4 N 0.0000 0.5000 0.0000
5 N 0.5000 0.0000 0.0000

ΔE_f (raw), eV per atom: 1.069

Entry 3:
## SrTcAg (PBEsol)

Data for SrTcAg after structural relaxation.

Cell: 4.8086 4.8086 4.8086 Å, 60.00 60.00 60.00°
Positions (direct):
1 Sr 0.0000 0.0000 0.0000
2 Tc 0.2500 0.2500 0.2500
3 Ag 0.7500 0.7500 0.7500

ΔH_f (0 K), eV/atom: 1.67

Entry 4:
## TaHg2Pb (PBEsol)

Data for TaHg2Pb after structural relaxation.

Cell: 10.1212 10.1212 10.1212 Å, 18.10 18.10 18.10°
Positions (direct):
1 Ta 0.0000 0.0000 0.0000
2 Hg 0.2574 0.2574 0.2574
3 Hg 0.7426 0.7426 0.7426
4 Pb 0.5000 0.5000 0.5000

ΔH_f (0 K), eV/atom: 0.30